Below is a relaxed CeGdMgGa crystal, with properties calculated at the PBE-GGA level.

Cell and atoms, written as extended XYZ:
```
4
Lattice="-0.532 -3.915 -3.452 4.040 -1.373 -3.053 2.466 -4.560 0.806" Properties=species:S:1:pos:R:3 pbc="T T T"
Ga 4.481 -7.386 -4.274
Gd 0.000 0.000 0.000
Ce 2.987 -4.924 -2.849
Mg 1.494 -2.462 -1.425
```

The energy relative to the elements is -24.6 kJ per mole of atoms. Its density of states at the Fermi level is 9.3 states/eV/cell.

=====

Below is a relaxed CeGdGaNi crystal, with properties calculated at the PBE-GGA level.

Cell and atoms, written as extended XYZ:
```
4
Lattice="5.005 0.000 0.000 2.502 4.334 0.000 2.502 1.445 4.086" Properties=species:S:1:pos:R:3 pbc="T T T"
Ga 7.507 4.334 3.065
Ni 2.502 1.445 1.022
Ce 0.000 0.000 0.000
Gd 5.005 2.890 2.043
```

The energy relative to the elements is -32.8 kJ per mole of atoms. Its density of states at the Fermi level is 6.1 states/eV/cell.

=====

Below is a relaxed CeGdPaGa crystal, with properties calculated at the PBE-GGA level.

Cell and atoms, written as extended XYZ:
```
4
Lattice="5.211 0.000 0.000 2.606 4.513 0.000 2.606 1.504 4.255" Properties=species:S:1:pos:R:3 pbc="T T T"
Pa 0.000 0.000 0.000
Ga 5.211 3.009 2.127
Ce 7.817 4.513 3.191
Gd 2.606 1.504 1.064
```

The energy relative to the elements is 8.0 kJ per mole of atoms. Its density of states at the Fermi level is 8.4 states/eV/cell.

=====

Below is a relaxed CePmGdGa crystal, with properties calculated at the PBE-GGA level.

Cell and atoms, written as extended XYZ:
```
4
Lattice="-1.066 -5.179 -0.929 1.362 -3.713 3.630 -3.808 -2.507 2.834" Properties=species:S:1:pos:R:3 pbc="T T T"
Pm -2.634 -8.549 4.151
Ce 0.000 0.000 0.000
Gd -1.756 -5.700 2.768
Ga -0.878 -2.850 1.384
```

The energy relative to the elements is -5.9 kJ per mole of atoms. Its density of states at the Fermi level is 7.6 states/eV/cell.

=====

Below is a relaxed CeGdGaPt crystal, with properties calculated at the PBE-GGA level.

Cell and atoms, written as extended XYZ:
```
4
Lattice="5.092 0.000 0.000 2.546 4.410 0.000 2.546 1.470 4.157" Properties=species:S:1:pos:R:3 pbc="T T T"
Ga 5.092 2.940 2.079
Ce 2.546 1.470 1.039
Pt 0.000 0.000 0.000
Gd 7.637 4.410 3.118
```

The energy relative to the elements is -71.4 kJ per mole of atoms. Its density of states at the Fermi level is 5.8 states/eV/cell.

=====

Below is a relaxed CeGdGaSi crystal, with properties calculated at the PBE-GGA level.

Cell and atoms, written as extended XYZ:
```
4
Lattice="5.084 0.000 0.000 2.542 4.402 0.000 2.542 1.467 4.151" Properties=species:S:1:pos:R:3 pbc="T T T"
Si 2.542 1.467 1.038
Ga 7.625 4.402 3.113
Gd 5.084 2.935 2.075
Ce 0.000 0.000 0.000
```

The value obtained for the uncorrected formation energy is -0.479 eV per atom. Its density of states at the Fermi level is 6.6 states/eV/cell.

=====

Below is a relaxed CeSmGdGa crystal, with properties calculated at the PBE-GGA level.

Cell and atoms, written as extended XYZ:
```
4
Lattice="-3.285 4.118 -0.400 -5.214 -0.798 -0.283 -3.098 1.313 4.072" Properties=species:S:1:pos:R:3 pbc="T T T"
Ga -2.899 1.158 0.847
Gd -5.798 2.316 1.694
Sm 0.000 0.000 0.000
Ce -8.697 3.474 2.542
```

The energy relative to the elements is -5.1 kJ per mole of atoms. Its density of states at the Fermi level is 7.2 states/eV/cell.

=====

Below is a relaxed CeGdGaTc crystal, with properties calculated at the PBE-GGA level.

Cell and atoms, written as extended XYZ:
```
4
Lattice="-3.858 2.328 2.166 -4.409 -2.320 0.409 -1.628 -1.500 4.482" Properties=species:S:1:pos:R:3 pbc="T T T"
Ga -2.474 -0.373 1.764
Gd 0.000 0.000 0.000
Tc -7.422 -1.119 5.293
Ce -4.948 -0.746 3.528
```

The energy relative to the elements is -20.1 kJ per mole of atoms. Its density of states at the Fermi level is 3.1 states/eV/cell.

=====

Below is a relaxed CeGdThGa crystal, with properties calculated at the PBE-GGA level.

Cell and atoms, written as extended XYZ:
```
4
Lattice="5.288 0.000 0.000 2.644 4.579 0.000 2.644 1.526 4.317" Properties=species:S:1:pos:R:3 pbc="T T T"
Gd 5.288 3.053 2.159
Th 0.000 0.000 0.000
Ce 7.932 4.579 3.238
Ga 2.644 1.526 1.079
```

The energy relative to the elements is -3.7 kJ per mole of atoms. Its density of states at the Fermi level is 6.6 states/eV/cell.

=====

Below is a relaxed CeGdTmGa crystal, with properties calculated at the PBE-GGA level.

Cell and atoms, written as extended XYZ:
```
4
Lattice="-1.345 -2.169 -4.663 -3.000 -4.387 -0.124 -5.029 0.266 -1.703" Properties=species:S:1:pos:R:3 pbc="T T T"
Ce -4.687 -3.145 -3.245
Gd 0.000 0.000 0.000
Ga -7.031 -4.718 -4.868
Tm -2.344 -1.573 -1.623
```

The energy relative to the elements is -9.0 kJ per mole of atoms. Its density of states at the Fermi level is 7.6 states/eV/cell.

=====

Below is a relaxed CeGdZnGa crystal, with properties calculated at the PBE-GGA level.

Cell and atoms, written as extended XYZ:
```
4
Lattice="-1.286 -4.730 1.486 0.117 -3.862 -3.363 3.595 -3.628 0.390" Properties=species:S:1:pos:R:3 pbc="T T T"
Ce 0.606 -3.055 -0.372
Ga 1.213 -6.110 -0.744
Zn 0.000 0.000 0.000
Gd 1.819 -9.165 -1.115
```

The energy relative to the elements is -39.1 kJ per mole of atoms. Its density of states at the Fermi level is 7.0 states/eV/cell.

=====

Below is a relaxed CeGa2Ge crystal, with properties calculated at the PBE-GGA level.

Cell and atoms, written as extended XYZ:
```
4
Lattice="-3.182 0.715 -3.059 -4.289 0.219 1.244 -2.041 5.225 0.077" Properties=species:S:1:pos:R:3 pbc="T T T"
Ga -7.094 5.061 -1.242
Ga -2.418 1.098 -0.496
Ge 0.000 0.000 0.000
Ce -4.756 3.080 -0.869
```

The calculation puts the energy relative to the lowest polymorph listed for this composition at 0.2219 eV per atom. The energy relative to the elements is -30.1 kJ per mole of atoms. Its density of states at the Fermi level is 6.0 states/eV/cell.

=====

What did the fourth record say?
Below is a relaxed CePmGdGa crystal, with properties calculated at the PBE-GGA level.

Cell and atoms, written as extended XYZ:
```
4
Lattice="-1.066 -5.179 -0.929 1.362 -3.713 3.630 -3.808 -2.507 2.834" Properties=species:S:1:pos:R:3 pbc="T T T"
Pm -2.634 -8.549 4.151
Ce 0.000 0.000 0.000
Gd -1.756 -5.700 2.768
Ga -0.878 -2.850 1.384
```

The energy relative to the elements is -5.9 kJ per mole of atoms. Its density of states at the Fermi level is 7.6 states/eV/cell.